a) K2GaSe | PBE-GGA | optimized geometry

Unit cell a=5.1835 b=5.1835 c=21.8617 alpha=90.00 beta=90.00 gamma=90.00
Space group I-42d (No. 122)
One atom of each set of equivalent atoms:
K  0.2192  0.2500  0.1250
Ga  0.0000  0.0000  0.5000
Se  0.0000  0.0000  0.0000



b) K2GaSe | PBE-GGA | optimized geometry

Unit cell a=8.0173 b=8.0173 c=8.0173 alpha=90.00 beta=90.00 gamma=90.00
Space group Fm-3m (No. 225)
One atom of each set of equivalent atoms:
K  0.2500  0.2500  0.2500
Ga  0.0000  0.0000  0.0000
Se  0.0000  0.0000  0.5000



b) wins, 137 meV/atom ahead of the next structure.



a) KGaSe | PBE-GGA | optimized geometry

Unit cell a=4.1392 b=4.1392 c=6.1750 alpha=90.00 beta=90.00 gamma=120.00
Space group P3m1 (No. 156)
One atom of each set of equivalent atoms:
K  0.0000  0.0000  0.0000
Ga  0.6667  0.3333  0.4275
Se  0.3333  0.6667  0.6413



b) KGaSe | PBE-GGA | optimized geometry

Unit cell a=10.2961 b=11.1042 c=15.7972 alpha=90.00 beta=90.00 gamma=90.00
Space group Fddd (No. 70, origin choice 2)
One atom of each set of equivalent atoms:
K  0.1250  0.1250  0.2650
Ga  0.0000  0.0000  0.5000
Se  0.1178  0.3750  0.3750



a) wins, 239 meV/atom ahead of the next structure.